1.
Entry from Alexandria via LeMat-Bulk: crystalline Sc2Cu2Au at its relaxed geometry (PBE).

Unit cell a=4.542 b=4.541 c=5.388 alpha=65.34 beta=65.34 gamma=60.13
Element x y z (fractional)
Sc 0.728 0.228 0.317
Sc 0.272 0.772 0.683
Cu 0.915 0.415 0.754
Cu 0.085 0.585 0.246
Au 0.500 0.000 0.000

Results
DFT formation energy = -374 meV/atom
DFT total energy = -5.200 eV/atom
relative energy among the computed polymorphs = 52 meV per atom

***

2.
Entry from Alexandria via LeMat-Bulk: crystalline Zn5Tc3 at its relaxed geometry (PBE).

Unit cell a=7.601 b=7.601 c=4.748 alpha=90.00 beta=90.00 gamma=59.99
Element x y z (fractional)
Zn 0.780 0.220 0.250
Zn 0.220 0.780 0.750
Zn 0.220 0.000 0.250
Zn 0.000 0.220 0.750
Zn 0.667 0.667 0.000
Zn 0.667 0.667 0.500
Zn 0.333 0.333 0.000
Zn 0.333 0.333 0.500
Zn 0.780 0.000 0.750
Zn 0.000 0.780 0.250
Tc 0.591 0.409 0.750
Tc 0.409 0.591 0.250
Tc 0.409 0.000 0.750
Tc 0.000 0.409 0.250
Tc 0.591 0.000 0.250
Tc 0.000 0.591 0.750

Results
DFT formation energy = 248 meV/atom
DFT total energy = -4.435 eV/atom
relative energy among the computed polymorphs = 168 meV per atom

***

3.
Entry from Alexandria via LeMat-Bulk: crystalline Tb2CoCu at its relaxed geometry (PBE).

Unit cell a=3.400 b=3.400 c=6.954 alpha=90.00 beta=90.00 gamma=90.00
Site moments in Bohr magnetons follow the coordinates.
Element x y z (fractional)
Co 0.500 0.500 0.000  0.85
Tb 0.000 0.000 0.761  -0.07
Tb 0.000 0.000 0.239  -0.07
Cu 0.500 0.500 0.500  0.01

Results
DFT formation energy = -178 meV/atom
DFT total energy = -5.294 eV/atom

***

4.
Entry from Alexandria via LeMat-Bulk: crystalline Rb2Ce2PbS6 at its relaxed geometry (PBE).

Unit cell a=7.255 b=7.255 c=8.078 alpha=97.88 beta=97.88 gamma=120.50
Element x y z (fractional)
Rb 0.840 0.160 0.000
Rb 0.160 0.840 0.000
Ce 0.335 0.665 0.500
Ce 0.665 0.335 0.500
Pb 0.000 0.000 0.500
S 0.702 0.702 0.691
S 0.054 0.417 0.688
S 0.298 0.298 0.309
S 0.417 0.054 0.688
S 0.946 0.583 0.312
S 0.583 0.946 0.312

Results
DFT total energy = -5.313 eV/atom

***

5.
Entry from Alexandria via LeMat-Bulk: crystalline Li3ZnGe at its relaxed geometry (PBE).

Unit cell a=4.825 b=4.825 c=4.825 alpha=90.00 beta=90.00 gamma=90.00
Element x y z (fractional)
Ge 0.000 0.000 0.000
Zn 0.500 0.500 0.500
Li 0.000 0.500 0.000
Li 0.000 0.000 0.500
Li 0.500 0.000 0.000

Results
DFT formation energy = 147 meV/atom
DFT total energy = -2.180 eV/atom
relative energy among the computed polymorphs = 404 meV per atom

***

6.
Entry from Alexandria via LeMat-Bulk: crystalline FeCoRe at its relaxed geometry (PBE).

Unit cell a=6.468 b=6.299 c=2.585 alpha=82.03 beta=74.66 gamma=23.31
Site moments in Bohr magnetons follow the coordinates.
Element x y z (fractional)
Co 0.005 0.005 0.995  1.60
Fe 0.661 0.661 0.339  2.57
Re 0.334 0.334 0.666  0.03

Results
DFT formation energy = 188 meV/atom
DFT total energy = -9.151 eV/atom
relative energy among the computed polymorphs = 143 meV per atom